Run A
# BeVGa PBE optimized geometry
# * size of the total moment: 0.65 μB/f.u.
data_BeVGa
_chemical_formula_sum 'Be2 V2 Ga2'
_cell_length_a 3.9450
_cell_length_b 3.9450
_cell_length_c 5.4385
_cell_angle_alpha 90.00
_cell_angle_beta 90.00
_cell_angle_gamma 120.00
_space_group_name_H-M_alt 'P 63/m m c'
_space_group_IT_number 194
_space_group_name_Hall '-P 6c 2c'
loop_
_atom_site_label
_atom_site_fract_x
_atom_site_fract_y
_atom_site_fract_z
_atom_site_occupancy
Be1 0.3333 0.6667 0.2500 1
V1 0.0000 0.0000 0.0000 1
Ga1 0.3333 0.6667 0.7500 1

***

Run B
# BeVGa PBE optimized geometry
# * size of the total moment: 0.00 μB/f.u.
data_BeVGa
_chemical_formula_sum 'Be2 V2 Ga2'
_cell_length_a 2.732
_cell_length_b 2.732
_cell_length_c 9.877
_cell_angle_alpha 90.00
_cell_angle_beta 90.00
_cell_angle_gamma 90.00
_space_group_name_H-M_alt 'I 4 m m'
_space_group_IT_number 107
_space_group_name_Hall 'I 4 -2'
loop_
_atom_site_label
_atom_site_fract_x
_atom_site_fract_y
_atom_site_fract_z
_atom_site_occupancy
Be1 0.000 0.000 0.000 1
V1 0.000 0.000 0.653 1
Ga1 0.000 0.000 0.344 1

***

Run C
# BeVGa PBE optimized geometry
# * size of the total moment: 0.64 μB/f.u.
data_BeVGa
_chemical_formula_sum 'Be1 V1 Ga1'
_cell_length_a 3.9304
_cell_length_b 3.9304
_cell_length_c 2.7579
_cell_angle_alpha 90.00
_cell_angle_beta 90.00
_cell_angle_gamma 120.00
_space_group_name_H-M_alt 'P -6 m 2'
_space_group_IT_number 187
_space_group_name_Hall 'P -6 2'
loop_
_atom_site_label
_atom_site_fract_x
_atom_site_fract_y
_atom_site_fract_z
_atom_site_occupancy
Be1 0.0000 0.0000 0.0000 1
V1 0.3333 0.6667 0.5000 1
Ga1 0.6667 0.3333 0.0000 1

***

Least stable = run B

***

Run A
# BeV2Ga2 PBE optimized geometry
# * size of the total moment: 1.51 μB/f.u.
data_BeV2Ga2
_chemical_formula_sum 'Be2 V4 Ga4'
_cell_length_a 6.056
_cell_length_b 6.056
_cell_length_c 3.756
_cell_angle_alpha 90.00
_cell_angle_beta 90.00
_cell_angle_gamma 90.00
_space_group_name_H-M_alt 'P 4/m b m'
_space_group_IT_number 127
_space_group_name_Hall '-P 4 2ab'
loop_
_atom_site_label
_atom_site_fract_x
_atom_site_fract_y
_atom_site_fract_z
_atom_site_occupancy
Be1 0.000 0.000 0.000 1
V1 0.165 0.335 0.500 1
Ga1 0.142 0.642 0.000 1

***

Run B
# BeV2Ga2 PBE optimized geometry
# * size of the total moment: 0.00 μB/f.u.
data_BeV2Ga2
_chemical_formula_sum 'Be2 V4 Ga4'
_cell_length_a 5.989
_cell_length_b 5.989
_cell_length_c 3.947
_cell_angle_alpha 90.00
_cell_angle_beta 90.00
_cell_angle_gamma 90.00
_space_group_name_H-M_alt 'P 4/m b m'
_space_group_IT_number 127
_space_group_name_Hall '-P 4 2ab'
loop_
_atom_site_label
_atom_site_fract_x
_atom_site_fract_y
_atom_site_fract_z
_atom_site_occupancy
Be1 0.000 0.000 0.000 1
V1 0.149 0.351 0.000 1
Ga1 0.160 0.660 0.500 1

***

Least stable = run B

***

Run A
# BeGa3W PBE optimized geometry
# * size of the total moment: 0.66 μB/f.u.
data_BeGa3W
_chemical_formula_sum 'Be1 Ga3 W1'
_cell_length_a 4.921
_cell_length_b 4.921
_cell_length_c 4.921
_cell_angle_alpha 90.00
_cell_angle_beta 90.00
_cell_angle_gamma 90.00
_space_group_name_H-M_alt 'P m -3 m'
_space_group_IT_number 221
_space_group_name_Hall '-P 4 2 3'
loop_
_atom_site_label
_atom_site_fract_x
_atom_site_fract_y
_atom_site_fract_z
_atom_site_occupancy
Be1 0.000 0.000 0.000 1
Ga1 0.000 0.500 0.500 1
W1 0.500 0.500 0.500 1

***

Run B
# BeGa3W PBE optimized geometry
# * size of the total moment: 2.15 μB/f.u.
data_BeGa3W
_chemical_formula_sum 'Be1 Ga3 W1'
_cell_length_a 4.333
_cell_length_b 4.333
_cell_length_c 4.333
_cell_angle_alpha 90.00
_cell_angle_beta 90.00
_cell_angle_gamma 90.00
_space_group_name_H-M_alt 'P m -3 m'
_space_group_IT_number 221
_space_group_name_Hall '-P 4 2 3'
loop_
_atom_site_label
_atom_site_fract_x
_atom_site_fract_y
_atom_site_fract_z
_atom_site_occupancy
Be1 0.000 0.000 0.000 1
Ga1 0.000 0.000 0.500 1
W1 0.500 0.500 0.500 1

***

Least stable = run A